DFT (PBE-GGA) results for a geometry-optimized PmPr2Nd4Dy structure.

POSCAR file:
```
PmPr2Nd4Dy
1.0
5.183 0.000 0.000
0.000 5.191 0.000
-0.025 0.000 10.378
Pm Pr Nd Dy
1 2 4 1
direct
0.000 0.000 0.000
0.000 0.000 0.500
0.500 0.500 0.000
0.000 0.500 0.252
0.000 0.500 0.748
0.500 0.000 0.251
0.500 0.000 0.749
0.500 0.500 0.500
```

## Properties
Its formation energy from the elements is 0.012 eV/atom. As for the symmetry: P2/m. Its total energy is -37.88 eV for the cell shown.